The following is a PBE calculation of a relaxed MgTeF3 crystal, from Alexandria via LeMat-Bulk.

- Energy relative to the elements, uncorrected: -1.13 eV/atom
- Raw total energy: -3.1978 eV per atom
- Energy relative to the lowest polymorph listed for this composition: 4.56 eV/f.u.
- Magnetization: 0.00 Bohr magnetons per cell

abc: 4.668 4.668 4.668
angles: 90.00 90.00 90.00
Space group Pm-3m (No. 221)
One atom of each set of equivalent atoms:
Mg1 0.000 0.000 0.000 (multiplicity 1)
Te1 0.500 0.500 0.500 (multiplicity 1)
F1 0.000 0.500 0.500 (multiplicity 3)

---

The following is a PBE calculation of a relaxed LiTh2Ni4Ge3 crystal, from Alexandria via LeMat-Bulk.

- Raw total energy: -6.0080 eV per atom
- Energy of formation: -0.635 eV/atom
- Magnetization: 0.00 Bohr magnetons per cell

abc: 4.161 4.161 9.648
angles: 90.00 90.00 90.00
Space group P-4m2 (No. 115)
One atom of each set of equivalent atoms:
Li1 0.000 0.000 0.000 (multiplicity 1)
Th1 0.000 0.500 0.743 (multiplicity 2)
Ni1 0.000 0.000 0.500 (multiplicity 1)
Ni2 0.000 0.500 0.126 (multiplicity 2)
Ni3 0.500 0.500 0.500 (multiplicity 1)
Ge1 0.000 0.500 0.371 (multiplicity 2)
Ge2 0.500 0.500 0.000 (multiplicity 1)

---

The following is a PBE calculation of a relaxed MgTiNi2 crystal, from Alexandria via LeMat-Bulk.

- Raw total energy: -4.8121 eV per atom
- Energy of formation: 0.451 eV/atom
- Magnetization: 0.00 Bohr magnetons per cell

abc: 2.640 4.810 9.553
angles: 90.00 90.00 90.00
Space group Immm (No. 71)
One atom of each set of equivalent atoms:
Mg1 0.000 0.000 0.000 (multiplicity 2)
Ti1 0.000 0.000 0.500 (multiplicity 2)
Ni1 0.000 0.000 0.261 (multiplicity 4)

---

The following is a PBE calculation of a relaxed KScGaGe2 crystal, from Alexandria via LeMat-Bulk.

- Raw total energy: -3.8259 eV per atom
- Energy of formation: 0.112 eV/atom
- Magnetization: 0.00 Bohr magnetons per cell

abc: 5.231 5.231 5.422
angles: 90.00 90.00 90.00
Space group P4/mmm (No. 123)
One atom of each set of equivalent atoms:
K1 0.000 0.000 0.000 (multiplicity 1)
Sc1 0.500 0.500 0.500 (multiplicity 1)
Ga1 0.500 0.500 0.000 (multiplicity 1)
Ge1 0.000 0.500 0.500 (multiplicity 2)

---

The following is a PBE calculation of a relaxed Th2As4Ir3Ru crystal, from Alexandria via LeMat-Bulk.

- Raw total energy: -7.7323 eV per atom
- Energy of formation: -0.803 eV/atom
- Magnetization: 0.00 Bohr magnetons per cell

abc: 4.316 4.316 9.997
angles: 90.00 90.00 90.00
Space group P-4m2 (No. 115)
One atom of each set of equivalent atoms:
Th1 0.000 0.500 0.249 (multiplicity 2)
As1 0.000 0.000 0.500 (multiplicity 1)
As2 0.000 0.500 0.865 (multiplicity 2)
As3 0.500 0.500 0.500 (multiplicity 1)
Ir1 0.000 0.000 0.000 (multiplicity 1)
Ir2 0.000 0.500 0.620 (multiplicity 2)
Ru1 0.500 0.500 0.000 (multiplicity 1)

---

The following is a PBE calculation of a relaxed Co2SbPt crystal, from Alexandria via LeMat-Bulk.

- Energy relative to the elements, uncorrected: 0.15 eV/atom
- Raw total energy: -5.9481 eV per atom
- Magnetization: 11.21 Bohr magnetons per cell

abc: 6.187 6.187 6.187
angles: 90.00 90.00 90.00
Space group F-43m (No. 216)
One atom of each set of equivalent atoms:
Co1 0.000 0.000 0.000 (multiplicity 4)
Co2 0.250 0.250 0.250 (multiplicity 4)
Sb1 0.250 0.250 0.750 (multiplicity 4)
Pt1 0.000 0.000 0.500 (multiplicity 4)

---

The following is a PBE calculation of a relaxed Ni2MoPt8 crystal, from Alexandria via LeMat-Bulk.

- Raw total energy: -6.3760 eV per atom
- Energy of formation: 0.053 eV/atom
- Magnetization: 2.03 Bohr magnetons per cell

abc: 7.404 11.860 4.150
angles: 90.00 107.95 90.00
Space group C2/m (No. 12)
One atom of each set of equivalent atoms:
Ni1 0.000 0.178 0.000 (multiplicity 4)
Mo1 0.000 0.500 0.500 (multiplicity 2)
Pt1 0.000 0.280 0.500 (multiplicity 4)
Pt2 0.122 0.000 0.320 (multiplicity 4)
Pt3 0.193 0.382 0.101 (multiplicity 8)

---

The following is a PBE calculation of a relaxed GdMnPt2 crystal, from Alexandria via LeMat-Bulk.

- Raw total energy: -9.5082 eV per atom
- Energy relative to the lowest polymorph listed for this composition: 0.12 eV/f.u.
- Energy of formation: -0.675 eV/atom
- Magnetization: 10.83 Bohr magnetons per cell

abc: 4.309 4.309 3.892
angles: 90.00 90.00 90.00
Space group P4/mmm (No. 123)
One atom of each set of equivalent atoms:
Gd1 0.000 0.000 0.000 (multiplicity 1)
Mn1 0.500 0.500 0.000 (multiplicity 1)
Pt1 0.000 0.500 0.500 (multiplicity 2)

---

The following is a PBE calculation of a relaxed ErGe3Ir3 crystal, from Alexandria via LeMat-Bulk.

- Raw total energy: -6.4417 eV per atom
- Energy relative to the lowest polymorph listed for this composition: 3.08 eV/f.u.
- Energy of formation: -0.013 eV/atom
- Magnetization: 0.00 Bohr magnetons per cell

abc: 6.740 6.740 6.740
angles: 90.00 90.00 90.00
Space group Pm-3n (No. 223)
One atom of each set of equivalent atoms:
Er1 0.000 0.000 0.000 (multiplicity 2)
Ge1 0.000 0.250 0.500 (multiplicity 6)
Ir1 0.000 0.500 0.250 (multiplicity 6)

---

The following is a PBE calculation of a relaxed Nb6TlSe12 crystal, from Alexandria via LeMat-Bulk.

- Energy relative to the elements, uncorrected: -0.41 eV/atom
- Raw total energy: -5.9121 eV per atom
- Magnetization: 12.84 Bohr magnetons per cell

abc: 12.5852 12.5852 9.6702
angles: 90.00 90.00 120.00
Space group R-3m (No. 166, hexagonal axes)
One atom of each set of equivalent atoms:
Nb1 0.0735 0.5368 0.2838 (multiplicity 18)
Tl1 0.0000 0.0000 0.0000 (multiplicity 3)
Se1 0.0000 0.3755 0.5000 (multiplicity 18)
Se2 0.0934 0.1867 0.3552 (multiplicity 18)

---

The following is a PBE calculation of a relaxed CaGeIrO6 crystal, from Alexandria via LeMat-Bulk.

- Energy relative to the elements, uncorrected: -1.54 eV/atom
- Raw total energy: -6.5626 eV per atom
- Magnetization: 5.16 Bohr magnetons per cell

abc: 5.1259 5.1259 10.1442
angles: 90.00 90.00 120.00
Space group P-31c (No. 163)
One atom of each set of equivalent atoms:
Ca1 0.0000 0.0000 0.0000 (multiplicity 2)
Ge1 0.3333 0.6667 0.2500 (multiplicity 2)
Ir1 0.3333 0.6667 0.7500 (multiplicity 2)
O1 0.0042 0.3713 0.1454 (multiplicity 12)

---

The following is a PBE calculation of a relaxed Dy2ScPa2Ru5 crystal, from Alexandria via LeMat-Bulk.

- Raw total energy: -8.4045 eV per atom
- Energy of formation: -0.314 eV/atom
- Magnetization: 0.00 Bohr magnetons per cell

abc: 10.595 10.595 3.554
angles: 90.00 90.00 90.00
Space group P4/mbm (No. 127)
One atom of each set of equivalent atoms:
Dy1 0.169 0.331 0.000 (multiplicity 4)
Sc1 0.000 0.000 0.000 (multiplicity 2)
Pa1 0.141 0.641 0.000 (multiplicity 4)
Ru1 0.000 0.500 0.500 (multiplicity 2)
Ru2 0.053 0.799 0.500 (multiplicity 8)

---

The following is a PBE calculation of a relaxed TcSnPd3 crystal, from Alexandria via LeMat-Bulk.

- Raw total energy: -4.9375 eV per atom
- Energy relative to the lowest polymorph listed for this composition: 0.61 eV/f.u.
- Energy of formation: 1.052 eV/atom
- Magnetization: 4.28 Bohr magnetons per cell

abc: 4.891 4.891 4.891
angles: 90.00 90.00 90.00
Space group Pm-3m (No. 221)
One atom of each set of equivalent atoms:
Tc1 0.000 0.000 0.000 (multiplicity 1)
Sn1 0.500 0.500 0.500 (multiplicity 1)
Pd1 0.000 0.500 0.500 (multiplicity 3)

---

The following is a PBE calculation of a relaxed SiGe3Rh6 crystal, from Alexandria via LeMat-Bulk.

- Energy relative to the elements, uncorrected: -0.51 eV/atom
- Raw total energy: -6.8477 eV per atom
- Magnetization: 0.00 Bohr magnetons per cell

abc: 9.007 3.743 9.223
angles: 90.00 104.30 90.00
Space group P2_1/m (No. 11)
One atom of each set of equivalent atoms:
Si1 0.067 0.250 0.181 (multiplicity 2)
Ge1 0.160 0.750 0.629 (multiplicity 2)
Ge2 0.326 0.250 0.005 (multiplicity 2)
Ge3 0.478 0.250 0.691 (multiplicity 2)
Rh1 0.093 0.250 0.789 (multiplicity 2)
Rh2 0.123 0.250 0.450 (multiplicity 2)
Rh3 0.144 0.750 0.039 (multiplicity 2)
Rh4 0.334 0.250 0.270 (multiplicity 2)
Rh5 0.377 0.750 0.514 (multiplicity 2)
Rh6 0.392 0.750 0.849 (multiplicity 2)

---

The following is a PBE calculation of a relaxed Li5OsO6 crystal, from Alexandria via LeMat-Bulk.

- Energy relative to the elements, uncorrected: -1.70 eV/atom
- Raw total energy: -5.9080 eV per atom
- Magnetization: 3.05 Bohr magnetons per cell

abc: 5.0991 5.0991 14.2772
angles: 90.00 90.00 120.00
Space group P3_112 (No. 151)
One atom of each set of equivalent atoms:
Li1 0.1983 0.0992 0.0000 (multiplicity 3)
Li2 0.2209 0.4419 0.1667 (multiplicity 3)
Li3 0.2232 0.4465 0.6667 (multiplicity 3)
Li4 0.2239 0.1119 0.5000 (multiplicity 3)
Li5 0.5450 0.0900 0.6667 (multiplicity 3)
Os1 0.5549 0.1098 0.1667 (multiplicity 3)
O1 0.1986 0.4458 0.4221 (multiplicity 6)
O2 0.2470 0.1072 0.2451 (multiplicity 6)
O3 0.5523 0.1393 0.9099 (multiplicity 6)

---

The following is a PBE calculation of a relaxed Sr2Si2SnAu6 crystal, from Alexandria via LeMat-Bulk.

- Energy relative to the elements, uncorrected: -0.34 eV/atom
- Raw total energy: -3.7873 eV per atom
- Magnetization: 0.00 Bohr magnetons per cell

abc: 6.7778 6.7778 24.7758
angles: 90.00 90.00 120.00
Space group R-3m (No. 166, hexagonal axes)
One atom of each set of equivalent atoms:
Sr1 0.0000 0.0000 0.2127 (multiplicity 6)
Si1 0.0000 0.0000 0.4526 (multiplicity 6)
Sn1 0.0000 0.0000 0.0000 (multiplicity 3)
Au1 0.0535 0.5267 0.7592 (multiplicity 18)

---

The following is a PBE calculation of a relaxed PaSi2TcRu2 crystal, from Alexandria via LeMat-Bulk.

- Energy relative to the elements, uncorrected: -0.18 eV/atom
- Raw total energy: -8.3939 eV per atom
- Magnetization: 1.13 Bohr magnetons per cell

abc: 3.833 3.833 15.389
angles: 90.00 90.00 90.00
Space group I4/mmm (No. 139)
One atom of each set of equivalent atoms:
Pa1 0.000 0.000 0.000 (multiplicity 2)
Si1 0.000 0.000 0.344 (multiplicity 4)
Tc1 0.000 0.000 0.500 (multiplicity 2)
Ru1 0.000 0.500 0.250 (multiplicity 4)

---

The following is a PBE calculation of a relaxed Zn2InFe crystal, from Alexandria via LeMat-Bulk.

- Raw total energy: -3.1998 eV per atom
- Energy of formation: 0.238 eV/atom
- Magnetization: 7.24 Bohr magnetons per cell

abc: 2.9768 2.9768 26.4727
angles: 90.00 90.00 120.00
Space group R-3m (No. 166, hexagonal axes)
One atom of each set of equivalent atoms:
Zn1 0.0000 0.0000 0.2403 (multiplicity 6)
In1 0.0000 0.0000 0.0000 (multiplicity 3)
Fe1 0.0000 0.0000 0.5000 (multiplicity 3)

---

The following is a PBE calculation of a relaxed Hf2Al4Co crystal, from Alexandria via LeMat-Bulk.

- Raw total energy: -5.8951 eV per atom
- Energy of formation: 0.102 eV/atom
- Magnetization: 0.00 Bohr magnetons per cell

abc: 4.292 4.292 14.166
angles: 90.00 90.00 90.00
Space group I4/mmm (No. 139)
One atom of each set of equivalent atoms:
Hf1 0.000 0.000 0.147 (multiplicity 4)
Al1 0.000 0.000 0.337 (multiplicity 4)
Al2 0.000 0.500 0.000 (multiplicity 4)
Co1 0.000 0.000 0.500 (multiplicity 2)

---

The following is a PBE calculation of a relaxed SmBSe3 crystal, from Alexandria via LeMat-Bulk.

- Energy relative to the elements, uncorrected: -0.96 eV/atom
- Raw total energy: -5.3320 eV per atom
- Magnetization: 0.00 Bohr magnetons per cell

abc: 6.666 7.646 11.154
angles: 90.00 124.46 90.00
Space group P2_1/c (No. 14)
One atom of each set of equivalent atoms:
Sm1 0.204 0.127 0.248 (multiplicity 4)
B1 0.198 0.651 0.094 (multiplicity 4)
Se1 0.066 0.197 0.935 (multiplicity 4)
Se2 0.281 0.687 0.952 (multiplicity 4)
Se3 0.387 0.007 0.760 (multiplicity 4)